[1]
Below is a geometry-optimized La4Pm3UP8 structure, with properties calculated at the PBE-GGA level.

POSCAR file:
```
La4Pm3UP8
1.0
-6.608 4.765 1.775
-4.049 -6.704 2.923
7.506 1.979 3.046
La Pm U P
4 3 1 8
direct
0.500 0.000 0.000
0.500 0.000 0.500
0.000 0.000 0.000
0.000 0.000 0.500
0.500 0.500 0.000
0.500 0.500 0.500
0.000 0.500 0.500
0.000 0.500 0.000
0.240 0.735 0.995
0.240 0.735 0.480
0.252 0.256 0.504
0.755 0.735 0.995
0.245 0.265 0.005
0.748 0.744 0.496
0.760 0.265 0.520
0.760 0.265 0.005
```

---

[2]
Below is a geometry-optimized LaPmY2P4 structure, with properties calculated at the PBE-GGA level.

POSCAR file:
```
LaPmY2P4
1.0
-1.929 -1.038 -3.480
5.477 -4.170 -1.792
-1.078 -6.558 2.554
La Pm Y P
1 1 2 4
direct
0.000 0.500 0.500
0.500 0.500 0.000
0.000 0.000 0.000
0.500 0.000 0.500
0.000 0.759 0.750
0.000 0.241 0.250
0.500 0.761 0.244
0.500 0.239 0.756
```

---

Number 1: calculated formation energy -1.484 eV/atom. Number 2: calculated formation energy -1.589 eV/atom.